# 1
AlP2Pt: single point on PBEsol structure, SCAN.

Calculated formation energy (eV per formula unit): -1.834
Symmetry: No. 10

Unit cell a=4.286 b=3.545 c=4.499 alpha=90.00 beta=107.11 gamma=90.00
Fractional positions:
Al (0.000, 0.000, 0.000)
P (0.233, 0.500, 0.682)
P (0.767, 0.500, 0.318)
Pt (0.500, 0.000, 0.500)

---

# 2
FeMoOs3: single point on PBEsol structure, SCAN.

Calculated formation energy (eV per formula unit): 9.216
Symmetry: No. 221

Unit cell a=4.307 b=4.307 c=4.307 alpha=90.00 beta=90.00 gamma=90.00
Fractional positions:
Fe (0.000, 0.000, 0.000)
Mo (0.500, 0.500, 0.500)
Os (0.000, 0.000, 0.500)
Os (0.000, 0.500, 0.000)
Os (0.500, 0.000, 0.000)

---

# 3
TlTe2Au: single point on PBEsol structure, SCAN.

Raw formation energy (meV/atom): -135.5
Symmetry: No. 71

Unit cell a=5.949 b=5.949 c=5.949 alpha=140.77 beta=117.94 gamma=75.93
Fractional positions:
Tl (0.000, 0.000, 0.000)
Te (0.311, 0.811, 0.500)
Te (0.689, 0.189, 0.500)
Au (0.500, 0.500, 0.000)

---

# 4
Mn2TlIn: single point on PBEsol structure, SCAN.

Calculated formation energy (eV per formula unit): 0.434
Symmetry: No. 47
Energy above the most stable polymorph in this dataset (meV per atom): 0

Unit cell a=2.996 b=3.877 c=5.967 alpha=90.00 beta=90.00 gamma=90.00
Fractional positions:
Mn (0.000, 0.000, 0.240)
Mn (0.000, 0.000, 0.760)
Tl (0.500, 0.500, 0.500)
In (0.500, 0.500, 0.000)

---

# 5
CoSbHI2: single point on PBEsol structure, SCAN.

VASP energy (eV/cell): -127.17
Symmetry: No. 123

Unit cell a=5.317 b=5.317 c=3.796 alpha=90.00 beta=90.00 gamma=90.00
Fractional positions:
Co (0.000, 0.000, 0.000)
Sb (0.500, 0.500, 0.000)
H (0.500, 0.500, 0.500)
I (0.000, 0.500, 0.500)
I (0.500, 0.000, 0.500)

---

# 6
CdBi2Te: single point on PBEsol structure, SCAN.

Raw formation energy (meV/atom): 235.2
Symmetry: No. 225

Unit cell a=5.395 b=5.395 c=5.395 alpha=60.00 beta=60.00 gamma=60.00
Fractional positions:
Cd (0.000, 0.000, 0.000)
Bi (0.250, 0.250, 0.250)
Bi (0.750, 0.750, 0.750)
Te (0.500, 0.500, 0.500)

---

# 7
EuCuSF: single point on PBEsol structure, SCAN.

Raw formation energy (meV/atom): -2213.2
Symmetry: No. 129

Unit cell a=3.833 b=3.833 c=8.454 alpha=90.00 beta=90.00 gamma=90.00
Fractional positions:
Eu (0.250, 0.250, 0.179)
Eu (0.750, 0.750, 0.821)
Cu (0.250, 0.750, 0.500)
Cu (0.750, 0.250, 0.500)
S (0.250, 0.250, 0.667)
S (0.750, 0.750, 0.333)
F (0.250, 0.750, 0.000)
F (0.750, 0.250, 0.000)

---

# 8
ZnCdFe2: single point on PBEsol structure, SCAN.

Calculated formation energy (eV per formula unit): 0.610
Symmetry: No. 139

Unit cell a=4.754 b=4.754 c=4.754 alpha=134.19 beta=134.19 gamma=66.79
Fractional positions:
Zn (0.000, 0.000, 0.000)
Cd (0.500, 0.500, 0.000)
Fe (0.250, 0.750, 0.500)
Fe (0.750, 0.250, 0.500)

---

# 9
TaMo: single point on PBEsol structure, SCAN.

Calculated formation energy (eV per formula unit): -0.272
Symmetry: No. 59

Unit cell a=3.189 b=4.534 c=9.029 alpha=90.00 beta=90.00 gamma=90.00
Fractional positions:
Ta (0.250, 0.250, 0.006)
Ta (0.250, 0.750, 0.256)
Ta (0.750, 0.250, 0.744)
Ta (0.750, 0.750, 0.994)
Mo (0.250, 0.250, 0.495)
Mo (0.250, 0.750, 0.742)
Mo (0.750, 0.250, 0.258)
Mo (0.750, 0.750, 0.505)

---

# 10
ReBiH2: single point on PBEsol structure, SCAN.

VASP energy (eV/cell): -149.88
Symmetry: No. 225

Unit cell a=4.060 b=4.060 c=4.060 alpha=60.00 beta=60.00 gamma=60.00
Fractional positions:
Re (0.000, 0.000, 0.000)
Bi (0.500, 0.500, 0.500)
H (0.250, 0.250, 0.250)
H (0.750, 0.750, 0.750)

---

# 11
KMg3V3CuO12: single point on PBEsol structure, SCAN.

Raw formation energy (meV/atom): -2597.4
Symmetry: No. 15

Unit cell a=8.767 b=8.767 c=6.847 alpha=104.66 beta=104.66 gamma=92.51
Fractional positions:
K (0.016, 0.984, 0.750)
K (0.984, 0.016, 0.250)
Mg (0.051, 0.375, 0.623)
Mg (0.260, 0.740, 0.250)
Mg (0.375, 0.051, 0.123)
Mg (0.625, 0.949, 0.877)
Mg (0.740, 0.260, 0.750)
Mg (0.949, 0.625, 0.377)
V (0.119, 0.352, 0.121)
V (0.290, 0.710, 0.750)
V (0.352, 0.119, 0.621)
V (0.648, 0.881, 0.379)
V (0.710, 0.290, 0.250)
V (0.881, 0.648, 0.879)
Cu (0.496, 0.504, 0.750)
Cu (0.504, 0.496, 0.250)
O (0.014, 0.668, 0.122)
O (0.028, 0.400, 0.320)
O (0.173, 0.182, 0.611)
O (0.181, 0.748, 0.523)
O (0.182, 0.173, 0.111)
O (0.252, 0.819, 0.977)
O (0.272, 0.509, 0.731)
O (0.280, 0.495, 0.175)
O (0.332, 0.986, 0.378)
O (0.400, 0.028, 0.820)
O (0.491, 0.728, 0.769)
O (0.495, 0.280, 0.675)
O (0.505, 0.720, 0.325)
O (0.509, 0.272, 0.231)
O (0.600, 0.972, 0.180)
O (0.668, 0.014, 0.622)
O (0.720, 0.505, 0.825)
O (0.728, 0.491, 0.269)
O (0.748, 0.181, 0.023)
O (0.818, 0.827, 0.889)
O (0.819, 0.252, 0.477)
O (0.827, 0.818, 0.389)
O (0.972, 0.600, 0.680)
O (0.986, 0.332, 0.878)

---

# 12
FeAu3: single point on PBEsol structure, SCAN.

Calculated formation energy (eV per formula unit): 0.404
Symmetry: No. 166

Unit cell a=5.256 b=5.256 c=5.256 alpha=117.02 beta=117.02 gamma=117.02
Fractional positions:
Fe (0.000, 0.000, 0.000)
Au (0.000, 0.500, 0.500)
Au (0.500, 0.000, 0.500)
Au (0.500, 0.500, 0.000)

---

# 13
KCr2Ir: single point on PBEsol structure, SCAN.

Calculated formation energy (eV per formula unit): 1.579
Symmetry: No. 99
Energy above the most stable polymorph in this dataset (meV per atom): 0

Unit cell a=2.904 b=2.904 c=8.386 alpha=90.00 beta=90.00 gamma=90.00
Fractional positions:
K (0.000, 0.000, 0.000)
Cr (0.000, 0.000, 0.516)
Cr (0.500, 0.500, 0.352)
Ir (0.500, 0.500, 0.691)

---

# 14
LiTl2Ga2: single point on PBEsol structure, SCAN.

Calculated formation energy (eV per formula unit): -0.072
Symmetry: No. 139
Energy above the most stable polymorph in this dataset (meV per atom): 0

Unit cell a=8.777 b=8.777 c=8.777 alpha=155.77 beta=155.77 gamma=34.53
Fractional positions:
Li (0.000, 0.000, 0.000)
Tl (0.398, 0.398, 0.000)
Tl (0.602, 0.602, 0.000)
Ga (0.250, 0.750, 0.500)
Ga (0.750, 0.250, 0.500)

---

# 15
SiAuI2: single point on PBEsol structure, SCAN.

Raw formation energy (meV/atom): 650.9
Symmetry: No. 122

Unit cell a=9.175 b=9.175 c=9.175 alpha=145.25 beta=145.25 gamma=49.96
Fractional positions:
Si (0.000, 0.000, 0.000)
Si (0.750, 0.250, 0.500)
Au (0.250, 0.750, 0.500)
Au (0.500, 0.500, 0.000)
I (0.124, 0.625, 0.999)
I (0.375, 0.374, 0.499)
I (0.626, 0.125, 0.001)
I (0.875, 0.876, 0.501)

---

# 16
Mn2AlB2: single point on PBEsol structure, SCAN.

Calculated formation energy (eV per formula unit): -2.388
Symmetry: No. 65
Energy above the most stable polymorph in this dataset (meV per atom): 0

Unit cell a=5.676 b=5.676 c=2.792 alpha=90.00 beta=90.00 gamma=150.72
Fractional positions:
Mn (0.145, 0.855, 0.000)
Mn (0.855, 0.145, 0.000)
Al (0.500, 0.500, 0.500)
B (0.294, 0.706, 0.500)
B (0.706, 0.294, 0.500)

---

# 17
ZrSiPt: single point on PBEsol structure, SCAN.

Raw formation energy (meV/atom): -872.3
Symmetry: No. 107

Unit cell a=5.735 b=5.735 c=5.735 alpha=149.68 beta=149.68 gamma=43.41
Fractional positions:
Zr (0.000, 0.000, 0.000)
Si (0.326, 0.326, 0.000)
Pt (0.700, 0.700, 0.000)

---

# 18
AlBMo: single point on PBEsol structure, SCAN.

Calculated formation energy (eV per formula unit): -1.412
Symmetry: No. 63

Unit cell a=7.162 b=7.162 c=3.091 alpha=90.00 beta=90.00 gamma=154.30
Fractional positions:
Al (0.198, 0.802, 0.750)
Al (0.802, 0.198, 0.250)
B (0.033, 0.967, 0.750)
B (0.967, 0.033, 0.250)
Mo (0.411, 0.589, 0.750)
Mo (0.589, 0.411, 0.250)

---

# 19
NiPd: single point on PBEsol structure, SCAN.

Calculated formation energy (eV per formula unit): -0.043
Symmetry: No. 166

Unit cell a=4.448 b=4.448 c=4.448 alpha=34.61 beta=34.61 gamma=34.61
Fractional positions:
Ni (0.000, 0.000, 0.000)
Pd (0.500, 0.500, 0.500)

---

# 20
NaLiIn2: single point on PBEsol structure, SCAN.

Calculated formation energy (eV per formula unit): -0.902
Symmetry: No. 225

Unit cell a=5.008 b=5.008 c=5.008 alpha=60.00 beta=60.00 gamma=60.00
Fractional positions:
Na (0.000, 0.000, 0.000)
Li (0.500, 0.500, 0.500)
In (0.250, 0.250, 0.250)
In (0.750, 0.750, 0.750)